No. 1
{"formula": "Pu2Cl3", "functional": "PBE", "state": "optimized geometry", "cell": [[-1.274, 3.542, 1.158], [-3.082, 1.669, -1.797], [-7.622, -2.619, 6.322]], "species": ["Pu", "Pu", "Cl", "Cl", "Cl"], "fractional_positions": [[0.388, 0.388, 0.837], [0.612, 0.612, 0.163], [0.000, 0.000, 0.000], [0.776, 0.776, 0.672], [0.224, 0.224, 0.328]], "magnetic_moment_mub_per_fu": 11.80, "formation_energy_uncorrected_ev_per_atom": -1.46}

=====

No. 2
{"formula": "Pu4Cl", "functional": "PBE", "state": "optimized geometry", "cell": [[5.314, 0.000, 0.000], [0.000, 5.314, 0.000], [0.000, 0.000, 5.314]], "species": ["Pu", "Pu", "Pu", "Pu", "Cl"], "fractional_positions": [[0.000, 0.000, 0.000], [0.500, 0.000, 0.500], [0.000, 0.500, 0.500], [0.500, 0.500, 0.000], [0.500, 0.500, 0.500]], "magnetic_moment_mub_per_fu": 24.28, "formation_energy_uncorrected_ev_per_atom": 0.10}

=====

No. 3
{"formula": "PuCl", "functional": "PBE", "state": "optimized geometry", "cell": [[3.973, 0.000, 0.000], [1.986, 3.441, 0.000], [1.986, 1.147, 3.244]], "species": ["Cl", "Pu"], "fractional_positions": [[0.500, 0.500, 0.500], [0.000, 0.000, 0.000]], "magnetic_moment_mub_per_fu": 6.06, "formation_energy_uncorrected_ev_per_atom": -1.04}

=====

No. 4
{"formula": "Pu2Cl13", "functional": "PBE", "state": "optimized geometry", "cell": [[-6.913, 0.579, -2.472], [0.004, -5.563, 6.538], [-0.371, 10.897, 2.075]], "species": ["Pu", "Pu", "Cl", "Cl", "Cl", "Cl", "Cl", "Cl", "Cl", "Cl", "Cl", "Cl", "Cl", "Cl", "Cl"], "fractional_positions": [[0.853, 0.870, 0.740], [0.147, 0.130, 0.260], [0.586, 0.624, 0.078], [0.414, 0.376, 0.922], [0.000, 0.000, 0.000], [0.183, 0.954, 0.680], [0.817, 0.046, 0.320], [0.863, 0.555, 0.675], [0.137, 0.445, 0.325], [0.717, 0.750, 0.499], [0.283, 0.250, 0.501], [0.528, 0.790, 0.806], [0.472, 0.210, 0.194], [0.846, 0.189, 0.810], [0.154, 0.811, 0.190]], "magnetic_moment_mub_per_fu": 4.87, "formation_energy_uncorrected_ev_per_atom": -1.08}

=====

No. 5
{"formula": "Pu3Cl5", "functional": "PBE", "state": "optimized geometry", "cell": [[6.444, 0.000, 0.000], [0.000, 8.373, 0.000], [0.000, -4.186, 7.251]], "species": ["Pu", "Pu", "Pu", "Pu", "Pu", "Pu", "Cl", "Cl", "Cl", "Cl", "Cl", "Cl", "Cl", "Cl", "Cl", "Cl"], "fractional_positions": [[0.250, 0.000, 0.395], [0.250, 0.395, 0.000], [0.250, 0.605, 0.605], [0.750, 0.000, 0.605], [0.750, 0.605, 0.000], [0.750, 0.395, 0.395], [0.000, 0.667, 0.333], [0.000, 0.333, 0.667], [0.500, 0.333, 0.667], [0.500, 0.667, 0.333], [0.250, 0.000, 0.741], [0.250, 0.741, 0.000], [0.250, 0.259, 0.259], [0.750, 0.000, 0.259], [0.750, 0.259, 0.000], [0.750, 0.741, 0.741]], "magnetic_moment_mub_per_fu": 19.00, "formation_energy_uncorrected_ev_per_atom": -1.51}

=====

No. 6
{"formula": "Rb3Pu5Cl12", "functional": "PBE", "state": "optimized geometry", "cell": [[15.538, 0.000, 0.000], [-5.179, 14.649, 0.000], [-5.179, -7.325, 12.687]], "species": ["Cl", "Cl", "Cl", "Cl", "Cl", "Cl", "Cl", "Cl", "Cl", "Cl", "Cl", "Cl", "Cl", "Cl", "Cl", "Cl", "Cl", "Cl", "Cl", "Cl", "Cl", "Cl", "Cl", "Cl", "Cl", "Cl", "Cl", "Cl", "Cl", "Cl", "Cl", "Cl", "Cl", "Cl", "Cl", "Cl", "Cl", "Cl", "Cl", "Cl", "Cl", "Cl", "Cl", "Cl", "Cl", "Cl", "Cl", "Cl", "Rb", "Rb", "Rb", "Rb", "Rb", "Rb", "Rb", "Rb", "Rb", "Rb", "Rb", "Rb", "Pu", "Pu", "Pu", "Pu", "Pu", "Pu", "Pu", "Pu", "Pu", "Pu", "Pu", "Pu", "Pu", "Pu", "Pu", "Pu", "Pu", "Pu", "Pu", "Pu"], "fractional_positions": [[0.705, 0.119, 0.031], [0.326, 0.531, 0.411], [0.969, 0.381, 0.295], [0.531, 0.205, 0.119], [0.586, 0.705, 0.674], [0.969, 0.589, 0.174], [0.326, 0.795, 0.414], [0.089, 0.914, 0.119], [0.589, 0.969, 0.674], [0.705, 0.586, 0.174], [0.795, 0.469, 0.381], [0.826, 0.911, 0.031], [0.119, 0.705, 0.531], [0.381, 0.411, 0.086], [0.086, 0.911, 0.381], [0.414, 0.119, 0.589], [0.086, 0.174, 0.205], [0.469, 0.674, 0.089], [0.826, 0.914, 0.295], [0.119, 0.414, 0.089], [0.381, 0.969, 0.795], [0.589, 0.619, 0.414], [0.911, 0.826, 0.531], [0.795, 0.326, 0.914], [0.411, 0.381, 0.586], [0.089, 0.174, 0.469], [0.205, 0.674, 0.086], [0.174, 0.086, 0.705], [0.619, 0.031, 0.205], [0.881, 0.586, 0.911], [0.531, 0.326, 0.911], [0.586, 0.881, 0.411], [0.914, 0.826, 0.795], [0.914, 0.089, 0.619], [0.881, 0.295, 0.469], [0.174, 0.089, 0.969], [0.619, 0.589, 0.914], [0.411, 0.031, 0.326], [0.295, 0.414, 0.826], [0.205, 0.531, 0.619], [0.911, 0.086, 0.881], [0.674, 0.205, 0.586], [0.469, 0.795, 0.881], [0.031, 0.411, 0.826], [0.414, 0.295, 0.326], [0.031, 0.619, 0.705], [0.674, 0.469, 0.589], [0.295, 0.881, 0.969], [0.750, 0.375, 0.125], [0.875, 0.750, 0.125], [0.375, 0.750, 0.625], [0.250, 0.125, 0.375], [0.875, 0.125, 0.250], [0.375, 0.625, 0.250], [0.625, 0.375, 0.750], [0.125, 0.875, 0.750], [0.750, 0.875, 0.625], [0.625, 0.250, 0.375], [0.125, 0.250, 0.875], [0.250, 0.625, 0.875], [0.125, 0.375, 0.250], [0.000, 0.500, 0.000], [0.000, 0.000, 0.000], [0.375, 0.250, 0.125], [0.500, 0.000, 0.500], [0.500, 0.500, 0.000], [0.125, 0.750, 0.375], [0.750, 0.125, 0.875], [0.750, 0.625, 0.375], [0.375, 0.125, 0.750], [0.625, 0.875, 0.250], [0.500, 0.500, 0.500], [0.500, 0.000, 0.000], [0.000, 0.000, 0.500], [0.250, 0.375, 0.625], [0.250, 0.875, 0.125], [0.000, 0.500, 0.500], [0.875, 0.250, 0.625], [0.625, 0.750, 0.875], [0.875, 0.625, 0.750]], "magnetic_moment_mub_per_fu": 6.91, "formation_energy_uncorrected_ev_per_atom": -1.63}

=====

No. 7
{"formula": "RbPu2Cl5", "functional": "PBE", "state": "optimized geometry", "cell": [[-1.280, 6.638, 3.893], [3.549, -2.992, 6.269], [5.396, 0.855, -7.500]], "species": ["Rb", "Rb", "Pu", "Pu", "Pu", "Pu", "Cl", "Cl", "Cl", "Cl", "Cl", "Cl", "Cl", "Cl", "Cl", "Cl"], "fractional_positions": [[0.750, 0.750, 0.500], [0.250, 0.250, 0.500], [0.150, 0.350, 0.000], [0.650, 0.150, 0.000], [0.350, 0.850, 0.000], [0.850, 0.650, 0.000], [0.528, 0.723, 0.751], [0.777, 0.972, 0.249], [0.000, 0.000, 0.000], [0.500, 0.500, 0.000], [0.223, 0.028, 0.751], [0.723, 0.223, 0.751], [0.028, 0.528, 0.751], [0.277, 0.777, 0.249], [0.972, 0.472, 0.249], [0.472, 0.277, 0.249]], "magnetic_moment_mub_per_fu": 12.00, "polymorph_energy_mev_per_atom": 0.0, "formation_energy_uncorrected_ev_per_atom": -1.83}

=====

No. 8
{"formula": "Rb5Pu3Cl12", "functional": "PBE", "state": "optimized geometry", "cell": [[16.848, 0.000, 0.000], [-5.616, 15.885, 0.000], [-5.616, -7.942, 13.756]], "species": ["Cl", "Cl", "Cl", "Cl", "Cl", "Cl", "Cl", "Cl", "Cl", "Cl", "Cl", "Cl", "Cl", "Cl", "Cl", "Cl", "Cl", "Cl", "Cl", "Cl", "Cl", "Cl", "Cl", "Cl", "Cl", "Cl", "Cl", "Cl", "Cl", "Cl", "Cl", "Cl", "Cl", "Cl", "Cl", "Cl", "Cl", "Cl", "Cl", "Cl", "Cl", "Cl", "Cl", "Cl", "Cl", "Cl", "Cl", "Cl", "Rb", "Rb", "Rb", "Rb", "Rb", "Rb", "Rb", "Rb", "Rb", "Rb", "Rb", "Rb", "Rb", "Rb", "Rb", "Rb", "Rb", "Rb", "Rb", "Rb", "Pu", "Pu", "Pu", "Pu", "Pu", "Pu", "Pu", "Pu", "Pu", "Pu", "Pu", "Pu"], "fractional_positions": [[0.630, 0.184, 0.996], [0.365, 0.496, 0.311], [0.004, 0.316, 0.370], [0.496, 0.130, 0.184], [0.446, 0.630, 0.635], [0.004, 0.689, 0.135], [0.365, 0.870, 0.554], [0.189, 0.054, 0.184], [0.689, 0.004, 0.635], [0.630, 0.446, 0.135], [0.870, 0.504, 0.316], [0.865, 0.811, 0.996], [0.184, 0.630, 0.496], [0.316, 0.311, 0.946], [0.946, 0.811, 0.316], [0.554, 0.184, 0.689], [0.946, 0.135, 0.130], [0.504, 0.635, 0.189], [0.865, 0.054, 0.370], [0.184, 0.554, 0.189], [0.316, 0.004, 0.870], [0.689, 0.684, 0.554], [0.811, 0.865, 0.496], [0.870, 0.365, 0.054], [0.311, 0.316, 0.446], [0.189, 0.135, 0.504], [0.130, 0.635, 0.946], [0.135, 0.946, 0.630], [0.684, 0.996, 0.130], [0.816, 0.446, 0.811], [0.496, 0.365, 0.811], [0.446, 0.816, 0.311], [0.054, 0.865, 0.870], [0.054, 0.189, 0.684], [0.816, 0.370, 0.504], [0.135, 0.189, 0.004], [0.684, 0.689, 0.054], [0.311, 0.996, 0.365], [0.370, 0.554, 0.865], [0.130, 0.496, 0.684], [0.811, 0.946, 0.816], [0.635, 0.130, 0.446], [0.504, 0.870, 0.816], [0.996, 0.311, 0.865], [0.554, 0.370, 0.365], [0.996, 0.684, 0.630], [0.635, 0.504, 0.689], [0.370, 0.816, 0.004], [0.125, 0.375, 0.250], [0.000, 0.500, 0.000], [0.000, 0.000, 0.000], [0.375, 0.250, 0.125], [0.500, 0.000, 0.500], [0.500, 0.500, 0.000], [0.125, 0.750, 0.375], [0.750, 0.125, 0.875], [0.750, 0.625, 0.375], [0.375, 0.125, 0.750], [0.625, 0.875, 0.250], [0.500, 0.500, 0.500], [0.500, 0.000, 0.000], [0.000, 0.000, 0.500], [0.250, 0.375, 0.625], [0.250, 0.875, 0.125], [0.000, 0.500, 0.500], [0.875, 0.250, 0.625], [0.625, 0.750, 0.875], [0.875, 0.625, 0.750], [0.750, 0.375, 0.125], [0.875, 0.750, 0.125], [0.375, 0.750, 0.625], [0.250, 0.125, 0.375], [0.875, 0.125, 0.250], [0.375, 0.625, 0.250], [0.625, 0.375, 0.750], [0.125, 0.875, 0.750], [0.750, 0.875, 0.625], [0.625, 0.250, 0.375], [0.125, 0.250, 0.875], [0.250, 0.625, 0.875]], "magnetic_moment_mub_per_fu": 17.00, "formation_energy_uncorrected_ev_per_atom": -1.78}

=====

No. 9
{"formula": "RbPu2Cl5", "functional": "PBE", "state": "optimized geometry", "cell": [[4.193, 0.000, -0.833], [-0.605, 6.476, -3.046], [-0.481, -0.007, 8.546]], "species": ["Rb", "Pu", "Pu", "Cl", "Cl", "Cl", "Cl", "Cl"], "fractional_positions": [[0.000, 0.000, 0.000], [0.189, 0.689, 0.378], [0.811, 0.311, 0.622], [0.000, 0.500, 0.000], [0.653, 0.390, 0.306], [0.347, 0.610, 0.694], [0.653, 0.916, 0.306], [0.347, 0.084, 0.694]], "magnetic_moment_mub_per_fu": 12.00, "polymorph_energy_mev_per_atom": 23.3, "formation_energy_uncorrected_ev_per_atom": -1.81}

=====

No. 10
{"formula": "Rb4PuCl7", "functional": "PBE", "state": "optimized geometry", "cell": [[5.137, 0.000, -1.678], [-1.152, 6.354, -3.527], [1.215, 2.836, 12.424]], "species": ["Rb", "Rb", "Rb", "Rb", "Pu", "Cl", "Cl", "Cl", "Cl", "Cl", "Cl", "Cl"], "fractional_positions": [[0.411, 0.471, 0.823], [0.589, 0.529, 0.177], [0.290, 0.805, 0.581], [0.710, 0.195, 0.419], [0.000, 0.000, 0.000], [0.103, 0.261, 0.207], [0.897, 0.739, 0.793], [0.946, 0.265, 0.892], [0.054, 0.735, 0.108], [0.717, 0.738, 0.435], [0.500, 0.000, 0.000], [0.283, 0.262, 0.565]], "magnetic_moment_mub_per_fu": 5.00, "formation_energy_uncorrected_ev_per_atom": -1.91}

=====

No. 11
{"formula": "RbPu3Cl8", "functional": "PBE", "state": "optimized geometry", "cell": [[-1.487, 6.793, -1.864], [-5.104, -5.057, -0.454], [-2.487, 1.758, 8.389]], "species": ["Rb", "Pu", "Pu", "Pu", "Cl", "Cl", "Cl", "Cl", "Cl", "Cl", "Cl", "Cl"], "fractional_positions": [[0.000, 0.000, 0.500], [0.667, 0.333, 0.907], [0.333, 0.667, 0.093], [0.000, 0.000, 0.000], [0.363, 0.069, 0.152], [0.706, 0.637, 0.152], [0.931, 0.294, 0.152], [0.637, 0.931, 0.848], [0.294, 0.363, 0.848], [0.069, 0.706, 0.848], [0.667, 0.333, 0.609], [0.333, 0.667, 0.391]], "magnetic_moment_mub_per_fu": 17.00, "polymorph_energy_mev_per_atom": 40.7, "formation_energy_uncorrected_ev_per_atom": -1.82}

=====

No. 12
{"formula": "Rb4PuCl6", "functional": "PBE", "state": "optimized geometry", "cell": [[-4.391, -6.568, -4.678], [7.614, -5.131, 0.057], [-2.782, -4.035, 8.277]], "species": ["Rb", "Rb", "Rb", "Rb", "Rb", "Rb", "Rb", "Rb", "Pu", "Pu", "Cl", "Cl", "Cl", "Cl", "Cl", "Cl", "Cl", "Cl", "Cl", "Cl", "Cl", "Cl"], "fractional_positions": [[0.325, 0.175, 0.250], [0.175, 0.675, 0.750], [0.675, 0.825, 0.750], [0.825, 0.325, 0.750], [0.325, 0.175, 0.750], [0.175, 0.675, 0.250], [0.825, 0.325, 0.250], [0.675, 0.825, 0.250], [0.500, 0.500, 0.000], [0.000, 0.000, 0.500], [0.299, 0.910, 0.500], [0.799, 0.590, 0.000], [0.590, 0.201, 0.000], [0.090, 0.299, 0.500], [0.000, 0.000, 0.208], [0.500, 0.500, 0.292], [0.410, 0.799, 0.000], [0.000, 0.000, 0.792], [0.201, 0.410, 0.000], [0.500, 0.500, 0.708], [0.910, 0.701, 0.500], [0.701, 0.090, 0.500]], "magnetic_moment_mub_per_fu": 5.94, "formation_energy_uncorrected_ev_per_atom": -1.84}

=====

No. 13
{"formula": "Rb3Pu6Cl20", "functional": "PBE", "state": "optimized geometry", "cell": [[8.925, 0.000, 5.153], [2.975, 8.415, 5.153], [0.000, 0.000, 10.306]], "species": ["Rb", "Rb", "Rb", "Pu", "Pu", "Pu", "Pu", "Pu", "Pu", "Cl", "Cl", "Cl", "Cl", "Cl", "Cl", "Cl", "Cl", "Cl", "Cl", "Cl", "Cl", "Cl", "Cl", "Cl", "Cl", "Cl", "Cl", "Cl", "Cl"], "fractional_positions": [[0.750, 0.750, 0.750], [0.250, 0.250, 0.250], [0.000, 0.000, 0.000], [0.267, 0.733, 0.733], [0.733, 0.267, 0.267], [0.267, 0.267, 0.733], [0.733, 0.267, 0.733], [0.267, 0.733, 0.267], [0.733, 0.733, 0.267], [0.385, 0.385, 0.845], [0.155, 0.615, 0.615], [0.667, 0.000, 0.000], [0.667, 0.333, 0.000], [0.000, 0.000, 0.667], [0.385, 0.845, 0.385], [0.000, 0.333, 0.667], [0.667, 0.000, 0.333], [0.000, 0.667, 0.000], [0.000, 0.000, 0.333], [0.333, 0.000, 0.667], [0.000, 0.333, 0.000], [0.333, 0.667, 0.000], [0.333, 0.000, 0.000], [0.385, 0.385, 0.385], [0.615, 0.615, 0.155], [0.615, 0.615, 0.615], [0.615, 0.155, 0.615], [0.845, 0.385, 0.385], [0.000, 0.667, 0.333]], "magnetic_moment_mub_per_fu": 31.00, "formation_energy_uncorrected_ev_per_atom": -1.90}

=====

No. 14
{"formula": "RbPuCl3", "functional": "PBE", "state": "optimized geometry", "cell": [[5.580, 0.000, 0.000], [0.000, 5.580, 0.000], [0.000, 0.000, 5.580]], "species": ["Cl", "Cl", "Cl", "Rb", "Pu"], "fractional_positions": [[0.000, 0.500, 0.000], [0.000, 0.000, 0.500], [0.500, 0.000, 0.000], [0.500, 0.500, 0.500], [0.000, 0.000, 0.000]], "magnetic_moment_mub_per_fu": 5.99, "formation_energy_uncorrected_ev_per_atom": -1.80}

=====

no.,total DFT energy (no corrections) (eV per atom)
1,-8.30
2,-11.73
3,-9.13
4,-4.59
5,-8.04
6,-6.47
7,-6.69
8,-5.28
9,-6.66
10,-4.50
11,-6.71
12,-4.50
13,-6.24
14,-5.97